[1]
Be2NbPt2: optimized geometry, GGA-PBEsol.

Computed properties:
Formation energy ... -600 meV per atom
M_tot ... 0.00 μB/f.u.

```
Be2NbPt2
1.0
6.879 0.000 0.000
0.000 6.879 0.000
0.000 0.000 2.684
Be Nb Pt
4 2 4
direct
0.118 0.382 0.000 Be
0.382 0.882 0.000 Be
0.618 0.118 0.000 Be
0.882 0.618 0.000 Be
0.000 0.000 0.000 Nb
0.500 0.500 0.000 Nb
0.174 0.674 0.500 Pt
0.326 0.174 0.500 Pt
0.674 0.826 0.500 Pt
0.826 0.326 0.500 Pt
```

---

[2]
Be2Nb2Pt: optimized geometry, GGA-PBEsol.

Computed properties:
Formation energy ... -482 meV per atom
M_tot ... 0.00 μB/f.u.

```
Be2Nb2Pt
1.0
6.002 0.000 0.000
0.000 6.002 0.000
0.000 0.000 3.657
Be Nb Pt
4 4 2
direct
0.128 0.372 0.000 Be
0.372 0.872 0.000 Be
0.628 0.128 0.000 Be
0.872 0.628 0.000 Be
0.171 0.671 0.500 Nb
0.329 0.171 0.500 Nb
0.671 0.829 0.500 Nb
0.829 0.329 0.500 Nb
0.000 0.000 0.000 Pt
0.500 0.500 0.000 Pt
```

---

[3]
RbBeNb3: optimized geometry, GGA-PBEsol.

Computed properties:
Formation energy ... 1527 meV per atom
M_tot ... 1.41 μB/f.u.

```
RbBeNb3
1.0
4.665 0.000 0.000
0.000 4.665 0.000
0.000 0.000 4.665
Rb Be Nb
1 1 3
direct
0.000 0.000 0.000 Rb
0.500 0.500 0.500 Be
0.000 0.500 0.500 Nb
0.500 0.000 0.500 Nb
0.500 0.500 0.000 Nb
```

---

[4]
Rb2BeNbW: optimized geometry, GGA-PBEsol.

Computed properties:
Formation energy ... 2645 meV per atom
M_tot ... 8.58 μB/f.u.

```
Rb2BeNbW
1.0
6.571 0.000 0.000
0.000 6.571 0.000
0.000 0.000 4.444
Rb Be Nb W
2 1 1 1
direct
0.000 0.500 0.000 Rb
0.500 0.000 0.000 Rb
0.000 0.000 0.500 Be
0.500 0.500 0.500 Nb
0.000 0.000 0.000 W
```

---

[5]
Be3NbRe: optimized geometry, GGA-PBEsol.

Computed properties:
Formation energy ... 880 meV per atom
M_tot ... 0.00 μB/f.u.

```
Be3NbRe
1.0
4.084 0.000 0.000
0.000 4.084 0.000
0.000 0.000 4.084
Be Nb Re
3 1 1
direct
0.000 0.000 0.500 Be
0.000 0.500 0.000 Be
0.500 0.000 0.000 Be
0.500 0.500 0.500 Nb
0.000 0.000 0.000 Re
```

---

[6]
Be2Nb2Rh: optimized geometry, GGA-PBEsol.

Computed properties:
Formation energy ... -343 meV per atom
M_tot ... 0.00 μB/f.u.

```
Be2Nb2Rh
1.0
6.093 0.000 0.000
0.000 6.093 0.000
0.000 0.000 3.479
Be Nb Rh
4 4 2
direct
0.125 0.375 0.000 Be
0.375 0.875 0.000 Be
0.625 0.125 0.000 Be
0.875 0.625 0.000 Be
0.173 0.673 0.500 Nb
0.327 0.173 0.500 Nb
0.673 0.827 0.500 Nb
0.827 0.327 0.500 Nb
0.000 0.000 0.000 Rh
0.500 0.500 0.000 Rh
```